[1]
Density functional theory data (PBEsol) for a relaxed ReAgPt crystal.

Values from the calculation:
- excess energy over the best structure of this formula in the dataset (meV per atom) = 761.6
- calculated formation energy (kJ/mol of formula units) = 278

a = 6.007 Å, b = 6.007 Å, c = 6.007 Å
α = 90.00°, β = 90.00°, γ = 90.00°
Space group F-43m (No. 216)
Inequivalent atoms, fractional coordinates:
Re: 0.000 0.000 0.000
Ag: 0.250 0.250 0.250
Pt: 0.250 0.250 0.750

***

[2]
Density functional theory data (PBEsol) for a relaxed ScTl3 crystal.

Values from the calculation:
- calculated formation energy (kJ/mol of formula units) = -51

a = 6.457 Å, b = 8.680 Å, c = 3.507 Å
α = 90.00°, β = 90.00°, γ = 90.00°
Space group Cmmm (No. 65)
Inequivalent atoms, fractional coordinates:
Sc: 0.000 0.000 0.000
Tl: 0.000 0.500 0.000
Tl: 0.250 0.250 0.500

***

[3]
Density functional theory data (PBEsol) for a relaxed Sc3ReRu crystal.

Values from the calculation:
- calculated formation energy (kJ/mol of formula units) = 420

a = 4.847 Å, b = 4.847 Å, c = 4.847 Å
α = 90.00°, β = 90.00°, γ = 90.00°
Space group Pm-3m (No. 221)
Inequivalent atoms, fractional coordinates:
Sc: 0.000 0.000 0.500
Re: 0.000 0.000 0.000
Ru: 0.500 0.500 0.500

***

[4]
Density functional theory data (PBEsol) for a relaxed TiS2I crystal.

Values from the calculation:
- excess energy over the best structure of this formula in the dataset (meV per atom) = 452.1
- formation energy without anion corrections (meV/atom) = -464

a = 6.754 Å, b = 6.754 Å, c = 9.779 Å
α = 90.00°, β = 90.00°, γ = 90.00°
Space group I-42d (No. 122)
Inequivalent atoms, fractional coordinates:
Ti: 0.000 0.000 0.000
S: 0.128 0.250 0.125
I: 0.000 0.000 0.500

***

[5]
Density functional theory data (PBEsol) for a relaxed KSr2Br crystal.

Values from the calculation:
- formation energy without anion corrections (meV/atom) = -337

a = 5.301 Å, b = 5.301 Å, c = 6.633 Å
α = 90.00°, β = 90.00°, γ = 90.00°
Space group P4/mmm (No. 123)
Inequivalent atoms, fractional coordinates:
K: 0.000 0.000 0.000
Sr: 0.000 0.500 0.500
Br: 0.500 0.500 0.000

***

[6]
Density functional theory data (PBEsol) for a relaxed In3RePt crystal.

Values from the calculation:
- excess energy over the best structure of this formula in the dataset (meV per atom) = 39.7
- calculated formation energy (kJ/mol of formula units) = 533

a = 5.052 Å, b = 5.052 Å, c = 5.052 Å
α = 90.00°, β = 90.00°, γ = 90.00°
Space group Pm-3m (No. 221)
Inequivalent atoms, fractional coordinates:
In: 0.000 0.000 0.500
Re: 0.000 0.000 0.000
Pt: 0.500 0.500 0.500